Here is PrZnGa2Cu after structural relaxation from Alexandria. Energies are from PBE.

**DFT formation energy**: -465 meV/atom
**Total energy**: -37.1 eV/cell
**Crystal system**: tetragonal

Cell lengths 4.290, 4.290, 10.285 Å; angles 90.00, 90.00, 90.00 degrees
Space group I-4m2 (No. 119)
Unique sites:
Pr (0.000, 0.000, 0.000) x2
Zn (0.000, 0.500, 0.250) x2
Ga (0.000, 0.000, 0.378) x4
Cu (0.000, 0.500, 0.750) x2



Here is PrZn2GaCu4 after structural relaxation from Alexandria. Energies are from PBE.

**DFT formation energy**: -139 meV/atom
**Total energy**: -83.5 eV/cell
**Crystal system**: trigonal

Cell lengths 4.1972, 4.1972, 25.9052 Å; angles 90.00, 90.00, 120.00 degrees
Space group R-3m (No. 166, hexagonal axes)
Unique sites:
Pr (0.0000, 0.0000, 0.0000) x3
Zn (0.0000, 0.0000, 0.2421) x6
Ga (0.0000, 0.0000, 0.5000) x3
Cu (0.0000, 0.0000, 0.1316) x6
Cu (0.0000, 0.0000, 0.4058) x6



Here is PrZnGaCu2 after structural relaxation from Alexandria. Energies are from PBE.

**DFT formation energy**: -296 meV/atom
**Total energy**: -37.5 eV/cell
**Crystal system**: orthorhombic

Cell lengths 4.386, 4.399, 9.509 Å; angles 90.00, 90.00, 90.00 degrees
Space group Imm2 (No. 44)
Unique sites:
Pr (0.000, 0.000, 0.000) x2
Zn (0.000, 0.500, 0.753) x2
Ga (0.000, 0.000, 0.619) x2
Cu (0.000, 0.000, 0.369) x2
Cu (0.000, 0.500, 0.245) x2



Here is Ga6Cu12Pt after structural relaxation from Alexandria. Energies are from PBE.

**DFT formation energy**: 106 meV/atom
**Total energy**: -214.0 eV/cell
**Crystal system**: trigonal

Cell lengths 11.2741, 11.2741, 7.6202 Å; angles 90.00, 90.00, 120.00 degrees
Space group R-3m (No. 166, hexagonal axes)
Unique sites:
Ga (0.0704, 0.5352, 0.2324) x18
Cu (0.0000, 0.3858, 0.5000) x18
Cu (0.0793, 0.1587, 0.2604) x18
Pt (0.0000, 0.0000, 0.0000) x3